Record 1
! SrBe2VGe | Alexandria via LeMat-Bulk | PBE | relaxed; values from VASP
&SYSTEM
  ibrav = 0, nat = 5, ntyp = 4
/
ATOMIC_SPECIES
Sr 87.62 Sr.upf
Be 9.01 Be.upf
V 50.94 V.upf
Ge 72.64 Ge.upf
CELL_PARAMETERS angstrom
4.580 0.000 0.000
0.000 4.580 0.000
0.000 0.000 4.717
ATOMIC_POSITIONS angstrom
Sr 0.000 0.000 0.000
Be 0.000 2.290 2.358
Be 2.290 0.000 2.358
V 2.290 2.290 2.358
Ge 2.290 2.290 0.000
! - ΔH_f (0 K): 0.37 eV per atom



Record 2
! SiW3I | Alexandria via LeMat-Bulk | PBE | relaxed; values from VASP
&SYSTEM
  ibrav = 0, nat = 5, ntyp = 3
/
ATOMIC_SPECIES
Si 28.09 Si.upf
W 183.84 W.upf
I 126.90 I.upf
CELL_PARAMETERS angstrom
4.872 0.000 0.000
0.000 4.872 0.000
0.000 0.000 4.872
ATOMIC_POSITIONS angstrom
Si 0.000 0.000 0.000
W 0.000 2.436 2.436
W 2.436 0.000 2.436
W 2.436 2.436 0.000
I 2.436 2.436 2.436
! - Formation energy (no corrections): 3.034 eV per atom



Calculated total energy per entry: -21.03; -30.66 eV per cell